# 1
The following is a DFT calculation (GGA-PBE) of LiPdPt2N after structural relaxation.

abc: 5.1407 5.1407 3.6060
angles: 90.00 90.00 90.00
Space group P4/mmm (No. 123)
One atom of each set of equivalent atoms:
Li1 0.0000 0.0000 0.0000 [1 per cell]
Pd1 0.5000 0.5000 0.5000 [1 per cell]
Pt1 0.0000 0.5000 0.5000 [2 per cell]
N1 0.5000 0.5000 0.0000 [1 per cell]

Summary:
* total energy: -4.492 eV/atom
* theoretical density: 9.0 g/cm3
* E_form (uncorrected): 1.01 eV/atom

=====

# 2
The following is a DFT calculation (GGA-PBE) of RbLiPd2N after structural relaxation.

abc: 4.1560 4.1560 5.4366
angles: 90.00 90.00 90.00
Space group P4/mmm (No. 123)
One atom of each set of equivalent atoms:
Rb1 0.0000 0.0000 0.0000 [1 per cell]
Li1 0.5000 0.5000 0.0000 [1 per cell]
Pd1 0.0000 0.5000 0.5000 [2 per cell]
N1 0.0000 0.0000 0.5000 [1 per cell]

Summary:
* total energy: -3.979 eV/atom
* theoretical density: 5.6 g/cm3
* E_form (uncorrected): 0.34 eV/atom

=====

# 3
The following is a DFT calculation (GGA-PBE) of Li2RePdN after structural relaxation.

abc: 3.9684 3.9684 3.8919
angles: 90.00 90.00 90.00
Space group P4/mmm (No. 123)
One atom of each set of equivalent atoms:
Li1 0.0000 0.5000 0.0000 [2 per cell]
Re1 0.0000 0.0000 0.5000 [1 per cell]
Pd1 0.5000 0.5000 0.5000 [1 per cell]
N1 0.0000 0.0000 0.0000 [1 per cell]

Summary:
* total energy: -6.137 eV/atom
* theoretical density: 8.7 g/cm3
* E_form (uncorrected): -0.18 eV/atom

=====

# 4
The following is a DFT calculation (GGA-PBE) of LiPd2RhN after structural relaxation.

abc: 4.2323 4.2323 3.8866
angles: 90.00 90.00 90.00
Space group P4/mmm (No. 123)
One atom of each set of equivalent atoms:
Li1 0.0000 0.0000 0.0000 [1 per cell]
Pd1 0.0000 0.5000 0.5000 [2 per cell]
Rh1 0.5000 0.5000 0.0000 [1 per cell]
N1 0.5000 0.5000 0.5000 [1 per cell]

Summary:
* total energy: -5.639 eV/atom
* theoretical density: 8.0 g/cm3
* E_form (uncorrected): -0.04 eV/atom